Density functional theory data (PBE) for an optimized crystal structure of BaNa2V2S7.

* M_tot: 0.000 μB/f.u.
* VASP energy: -5.31 eV/atom
* ΔE_f (raw): -1.005 eV/atom
* volume: 419.5 Å³/f.u.

Unit cell a=10.618 b=10.618 c=10.618 alpha=38.64 beta=38.64 gamma=38.64
Fractional positions:
Ba: 0.000 0.000 0.000
Na: 0.234 0.234 0.234
Na: 0.766 0.766 0.766
V: 0.425 0.425 0.425
V: 0.575 0.575 0.575
S: 0.123 0.385 0.700
S: 0.300 0.615 0.877
S: 0.385 0.700 0.123
S: 0.500 0.500 0.500
S: 0.615 0.877 0.300
S: 0.700 0.123 0.385
S: 0.877 0.300 0.615